# 1
## SmNpCdO6 (GGA-PBE)

Data for a geometry-optimized SmNpCdO6 structure.

Cell and atoms, written as POSCAR:
```
SmNpCdO6
1.0
5.633 0.000 0.000
-2.816 4.878 0.000
0.000 0.000 10.013
O Cd Np Sm
12 2 2 2
direct
0.364 0.041 0.135
0.041 0.677 0.865
0.323 0.364 0.865
0.041 0.364 0.635
0.959 0.323 0.135
0.636 0.959 0.865
0.677 0.041 0.365
0.636 0.677 0.635
0.677 0.636 0.135
0.959 0.636 0.365
0.364 0.323 0.365
0.323 0.959 0.635
0.333 0.667 0.250
0.667 0.333 0.750
0.667 0.333 0.250
0.333 0.667 0.750
0.000 0.000 0.000
0.000 0.000 0.500
```

Calculated values
formation energy from raw total energies: -2.4557 eV/atom
uncorrected energy: -7.8251 eV per atom


# 2
## HgIrN2F (GGA-PBE)

Data for a geometry-optimized HgIrN2F structure.

Cell and atoms, written as POSCAR:
```
HgIrN2F
1.0
-1.714 -3.287 -0.074
3.288 -1.714 -0.032
-0.010 -0.140 6.490
Hg N F Ir
1 2 1 1
direct
0.500 0.500 0.500
0.500 0.000 0.000
0.000 0.500 0.000
0.000 0.000 0.500
0.000 0.000 0.000
```

Calculated values
formation energy from raw total energies: 0.4806 eV/atom
relative energy among the computed polymorphs: 0.000 eV/atom
uncorrected energy: -5.0564 eV per atom